! CoTeI2O, optimized geometry, DFT GGA+U; values from VASP
! SG = P4/mmm (123)
! Calculated total energy = -0.212 Ry per atom
&SYSTEM
  ibrav = 0, nat = 5, ntyp = 4
/
ATOMIC_SPECIES
I 126.90 I.upf
O 16.00 O.upf
Te 127.60 Te.upf
Co 58.93 Co.upf
CELL_PARAMETERS angstrom
6.176 0.000 0.000
0.000 6.176 0.000
0.000 0.000 4.071
ATOMIC_POSITIONS crystal
I 0.500 0.000 0.000
O 0.000 0.000 0.500
Te 0.000 0.000 0.000
Co 0.500 0.500 0.500
I 0.000 0.500 0.000